No. 1
This record from Alexandria describes a relaxed Ta2Te crystal. The functional is PBE.

Volume   68.0 Å³ per cell
E_form (uncorrected)   0.6068 eV/atom
Mass density   11.95 g cm⁻³
Symmetry   No. 123

The structure in extended XYZ format:
```
3
Lattice="3.886 0.000 0.000 0.000 3.886 0.000 0.000 0.000 4.502" Properties=species:S:1:pos:R:3 pbc="T T T"
Ta 0.000 1.943 0.000
Ta 1.943 0.000 0.000
Te 0.000 0.000 2.251
```



No. 2
This record from Alexandria describes a relaxed Ba2PF2 crystal. The functional is PBE.

Volume   126.4 Å³ per cell
E_form (uncorrected)   -2.5343 eV/atom
Mass density   4.51 g cm⁻³
ΔE to the lowest computed polymorph   0.000 eV per atom
Symmetry   No. 139

The structure in extended XYZ format:
```
5
Lattice="-2.074 2.074 7.346 2.074 -2.074 7.346 2.074 2.074 -7.346" Properties=species:S:1:pos:R:3 pbc="T T T"
Ba 0.000 0.000 2.032
Ba 0.000 0.000 12.661
P 0.000 0.000 7.346
F 2.074 0.000 3.673
F 0.000 2.074 3.673
```



No. 3
This record from Alexandria describes a relaxed Tl2MoPb crystal. The functional is PBE.

Volume   106.2 Å³ per cell
Mass density   11.13 g cm⁻³
ΔH_f (0 K)   0.8500 eV per atom
ΔE to the lowest computed polymorph   0.361 eV per atom
Symmetry   No. 225

The structure in extended XYZ format:
```
4
Lattice="0.000 3.758 3.758 3.758 0.000 3.758 3.758 3.758 0.000" Properties=species:S:1:pos:R:3 pbc="T T T"
Tl 1.879 1.879 1.879
Tl 5.638 5.638 5.638
Mo 0.000 0.000 0.000
Pb 3.758 3.758 3.758
```



No. 4
This record from Alexandria describes a relaxed Tl12HgAu6 crystal. The functional is PBE.

Volume   526.4 Å³ per cell
Mass density   12.10 g cm⁻³
ΔH_f (0 K)   -0.0035 eV per atom
ΔE to the lowest computed polymorph   0.000 eV per atom
Symmetry   No. 148

The structure in extended XYZ format:
```
19
Lattice="6.370 3.678 3.745 -6.370 3.678 3.745 0.000 -7.355 3.745" Properties=species:S:1:pos:R:3 pbc="T T T"
Tl -1.849 0.714 2.581
Tl 0.306 -1.958 2.581
Tl -3.266 -0.976 5.275
Tl -0.787 -3.316 5.960
Tl 1.543 1.244 2.581
Tl -2.478 2.340 5.960
Tl 2.478 -2.340 5.275
Tl -1.543 -1.244 8.654
Tl 0.787 3.316 5.275
Tl 3.266 0.976 5.960
Tl -0.306 1.958 8.654
Tl 1.849 -0.714 8.654
Hg 0.000 0.000 5.617
Au -4.547 1.403 3.770
Au 1.059 -4.639 3.770
Au -3.488 -3.237 7.464
Au 3.488 3.237 3.770
Au -1.059 4.639 7.464
Au 4.547 -1.403 7.464
```



No. 5
This record from Alexandria describes a relaxed MnAlRu3 crystal. The functional is PBE.

Volume   84.2 Å³ per cell
Mass density   7.59 g cm⁻³
ΔH_f (0 K)   1.0482 eV per atom
ΔE to the lowest computed polymorph   0.000 eV per atom
Symmetry   No. 221

The structure in extended XYZ format:
```
5
Lattice="4.383 0.000 0.000 0.000 4.383 0.000 0.000 0.000 4.383" Properties=species:S:1:pos:R:3 pbc="T T T"
Mn 0.000 0.000 0.000
Al 2.192 2.192 2.192
Ru 0.000 0.000 2.192
Ru 0.000 2.192 0.000
Ru 2.192 0.000 0.000
```



No. 6
This record from Alexandria describes a relaxed La2TbCo crystal. The functional is PBE.

Volume   453.4 Å³ per cell
Mass density   7.26 g cm⁻³
ΔH_f (0 K)   -0.1023 eV per atom
ΔE to the lowest computed polymorph   0.000 eV per atom
Symmetry   No. 62

The structure in extended XYZ format:
```
16
Lattice="7.103 0.000 0.000 0.000 10.095 0.000 0.000 0.000 6.324" Properties=species:S:1:pos:R:3 pbc="T T T"
La 1.182 0.725 1.115
La 1.182 4.323 1.115
La 2.369 5.772 4.277
La 2.369 9.371 4.277
La 4.734 0.725 2.046
La 4.734 4.323 2.046
La 5.920 5.772 5.208
La 5.920 9.371 5.208
Tb 0.327 2.524 4.169
Tb 3.225 7.571 1.007
Tb 3.878 2.524 5.317
Tb 6.776 7.571 2.155
Co 0.826 7.571 5.907
Co 2.725 2.524 2.745
Co 4.378 7.571 3.578
Co 6.276 2.524 0.417
```



No. 7
This record from Alexandria describes a relaxed Be2VOsW crystal. The functional is PBE.

Volume   83.6 Å³ per cell
Mass density   8.80 g cm⁻³
ΔH_f (0 K)   1.6877 eV per atom
ΔE to the lowest computed polymorph   0.000 eV per atom
Symmetry   No. 123

The structure in extended XYZ format:
```
5
Lattice="4.203 0.000 0.000 0.000 4.203 0.000 0.000 0.000 4.733" Properties=species:S:1:pos:R:3 pbc="T T T"
Be 0.000 2.101 0.000
Be 2.101 0.000 0.000
V 0.000 0.000 2.366
Os 2.101 2.101 2.366
W 2.101 2.101 0.000
```



No. 8
This record from Alexandria describes a relaxed Nd2Y6Mg crystal. The functional is PBE.

Volume   577.4 Å³ per cell
Mass density   4.87 g cm⁻³
ΔH_f (0 K)   0.0239 eV per atom
ΔE to the lowest computed polymorph   0.000 eV per atom
Symmetry   No. 136

The structure in extended XYZ format:
```
18
Lattice="10.659 0.000 0.000 0.000 10.659 0.000 0.000 0.000 5.082" Properties=species:S:1:pos:R:3 pbc="T T T"
Nd 1.773 1.773 0.000
Nd 3.557 7.102 2.541
Nd 7.102 3.557 2.541
Nd 8.886 8.886 0.000
Y 0.005 3.547 2.541
Y 10.654 7.112 2.541
Y 1.764 8.895 0.000
Y 1.783 5.335 0.000
Y 3.547 0.005 2.541
Y 3.566 3.566 2.541
Y 5.335 1.783 0.000
Y 5.324 8.876 0.000
Y 7.093 7.093 2.541
Y 7.112 10.654 2.541
Y 8.876 5.324 0.000
Y 8.895 1.764 0.000
Mg 0.000 0.000 2.541
Mg 5.330 5.330 0.000
```



No. 9
This record from Alexandria describes a relaxed KTa2Os crystal. The functional is PBE.

Volume   110.9 Å³ per cell
Mass density   8.86 g cm⁻³
ΔH_f (0 K)   0.8405 eV per atom
ΔE to the lowest computed polymorph   0.261 eV per atom
Symmetry   No. 8

The structure in extended XYZ format:
```
4
Lattice="4.733 -1.586 0.000 4.733 1.586 0.000 -0.922 0.000 7.385" Properties=species:S:1:pos:R:3 pbc="T T T"
K 0.000 0.000 0.000
Ta 1.437 0.000 4.578
Ta 4.095 0.000 3.396
Os 6.758 0.000 2.789
```



No. 10
This record from Alexandria describes a relaxed Ti2Se crystal. The functional is PBE.

Volume   589.7 Å³ per cell
E_form (uncorrected)   -0.8324 eV/atom
Mass density   5.90 g cm⁻³
Symmetry   No. 58

The structure in extended XYZ format:
```
36
Lattice="11.756 0.000 0.000 0.000 14.548 0.000 0.000 0.000 3.448" Properties=species:S:1:pos:R:3 pbc="T T T"
Ti 0.341 1.577 0.000
Ti 1.006 8.384 0.000
Ti 1.073 10.760 1.724
Ti 1.340 6.198 1.724
Ti 1.702 14.249 1.724
Ti 2.201 2.983 1.724
Ti 3.677 10.257 0.000
Ti 4.176 6.975 0.000
Ti 4.539 13.472 0.000
Ti 4.805 3.486 0.000
Ti 4.872 1.110 1.724
Ti 5.537 8.851 1.724
Ti 6.220 5.697 1.724
Ti 6.884 13.438 1.724
Ti 6.951 11.062 0.000
Ti 7.218 1.076 0.000
Ti 7.580 7.573 0.000
Ti 8.079 4.291 0.000
Ti 9.555 11.565 1.724
Ti 10.054 0.299 1.724
Ti 10.417 8.350 1.724
Ti 10.683 3.788 1.724
Ti 10.750 6.164 0.000
Ti 11.415 12.971 0.000
Se 0.794 4.279 0.000
Se 2.207 12.364 0.000
Se 2.880 8.526 1.724
Se 2.999 1.252 0.000
Se 3.671 5.090 1.724
Se 5.084 11.553 1.724
Se 6.672 2.995 1.724
Se 8.085 9.458 1.724
Se 8.758 13.296 0.000
Se 8.877 6.022 1.724
Se 9.549 2.184 0.000
Se 10.962 10.269 0.000
```



No. 11
This record from Alexandria describes a relaxed LaTbPb crystal. The functional is PBE.

Volume   100.8 Å³ per cell
Mass density   8.32 g cm⁻³
ΔH_f (0 K)   -0.2723 eV per atom
ΔE to the lowest computed polymorph   0.188 eV per atom
Symmetry   No. 187

The structure in extended XYZ format:
```
3
Lattice="5.250 0.000 0.000 -2.625 4.546 0.000 0.000 0.000 4.223" Properties=species:S:1:pos:R:3 pbc="T T T"
La 0.000 0.000 0.000
Tb 0.000 3.031 2.111
Pb 2.625 1.515 2.111
```



No. 12
This record from Alexandria describes a relaxed Zn2HgOs crystal. The functional is PBE.

Volume   66.8 Å³ per cell
Mass density   12.97 g cm⁻³
ΔH_f (0 K)   0.3769 eV per atom
Symmetry   No. 65

The structure in extended XYZ format:
```
4
Lattice="1.452 -2.465 0.000 1.452 2.465 0.000 0.000 0.000 9.330" Properties=species:S:1:pos:R:3 pbc="T T T"
Zn 0.000 0.000 2.137
Zn 0.000 0.000 7.194
Hg 1.452 0.000 4.665
Os 1.452 0.000 0.000
```



No. 13
This record from Alexandria describes a relaxed Dy7Ho2Er crystal. The functional is PBE.

Volume   381.9 Å³ per cell
Mass density   7.11 g cm⁻³
ΔH_f (0 K)   0.6956 eV per atom
ΔE to the lowest computed polymorph   0.679 eV per atom
Symmetry   No. 65

The structure in extended XYZ format:
```
10
Lattice="4.324 -8.479 0.000 4.324 8.479 0.000 0.000 0.000 5.208" Properties=species:S:1:pos:R:3 pbc="T T T"
Dy 0.000 0.000 0.000
Dy 2.777 1.849 0.000
Dy 4.324 3.358 2.604
Dy 2.777 -1.849 0.000
Dy 5.871 1.849 0.000
Dy 4.324 -3.358 2.604
Dy 5.871 -1.849 0.000
Ho 4.324 5.053 0.000
Ho 4.324 -5.053 0.000
Er 4.324 0.000 2.604
```



No. 14
This record from Alexandria describes a relaxed RbV3Sn crystal. The functional is PBE.

Volume   154.9 Å³ per cell
Mass density   3.83 g cm⁻³
ΔH_f (0 K)   1.3326 eV per atom
ΔE to the lowest computed polymorph   0.000 eV per atom
Symmetry   No. 221

The structure in extended XYZ format:
```
5
Lattice="5.371 0.000 0.000 0.000 5.371 0.000 0.000 0.000 5.371" Properties=species:S:1:pos:R:3 pbc="T T T"
Rb 0.000 0.000 0.000
V 0.000 2.685 2.685
V 2.685 0.000 2.685
V 2.685 2.685 0.000
Sn 2.685 2.685 2.685
```



No. 15
This record from Alexandria describes a relaxed AcCd2Ga2 crystal. The functional is PBE.

Volume   120.1 Å³ per cell
Mass density   8.18 g cm⁻³
ΔH_f (0 K)   -0.4357 eV per atom
Symmetry   No. 139

The structure in extended XYZ format:
```
5
Lattice="-2.288 2.288 5.737 2.288 -2.288 5.737 2.288 2.288 -5.737" Properties=species:S:1:pos:R:3 pbc="T T T"
Ac 0.000 0.000 0.000
Cd 2.288 0.000 2.868
Cd 0.000 2.288 2.868
Ga 0.000 0.000 4.478
Ga 0.000 0.000 6.996
```



No. 16
This record from Alexandria describes a relaxed Gd2ScNbO7 crystal. The functional is PBE.

Volume   291.2 Å³ per cell
E_form (uncorrected)   -3.2339 eV/atom
Mass density   6.44 g cm⁻³
Symmetry   No. 74

The structure in extended XYZ format:
```
22
Lattice="-3.685 3.759 5.255 3.685 -3.759 5.255 3.685 3.759 -5.255" Properties=species:S:1:pos:R:3 pbc="T T T"
Gd 0.000 0.000 0.000
Gd -1.842 1.879 2.628
Gd 0.000 3.759 0.000
Gd 1.842 1.879 2.628
Sc 1.842 1.879 -2.628
Sc 1.842 -1.879 2.628
Nb 3.685 0.000 0.000
Nb 0.000 0.000 5.255
O 2.200 -0.240 1.319
O 5.170 -0.240 1.319
O 3.685 -1.879 3.658
O 3.685 1.879 0.737
O 2.200 3.519 -1.319
O 1.485 -0.240 3.936
O 0.000 1.879 1.354
O 3.685 1.879 3.901
O 2.200 3.999 1.319
O 1.485 0.240 6.575
O 0.000 1.879 4.518
O 0.000 5.638 1.597
O -1.485 3.999 3.936
O 1.485 3.999 3.936
```



No. 17
This record from Alexandria describes a relaxed Tb2HoSe crystal. The functional is PBE.

Volume   117.7 Å³ per cell
E_form (uncorrected)   -0.8085 eV/atom
Mass density   7.93 g cm⁻³
ΔE to the lowest computed polymorph   0.000 eV per atom
Symmetry   No. 160

The structure in extended XYZ format:
```
4
Lattice="1.901 1.098 9.398 -1.901 1.098 9.398 0.000 -2.195 9.398" Properties=species:S:1:pos:R:3 pbc="T T T"
Tb 0.000 0.000 0.000
Tb 0.000 0.000 5.674
Ho 0.000 0.000 21.650
Se 0.000 0.000 16.936
```



No. 18
This record from Alexandria describes a relaxed Be2Si2I crystal. The functional is PBE.

Volume   84.4 Å³ per cell
E_form (uncorrected)   0.6340 eV/atom
Mass density   3.96 g cm⁻³
ΔE to the lowest computed polymorph   0.000 eV per atom
Symmetry   No. 139

The structure in extended XYZ format:
```
5
Lattice="-2.075 2.075 4.902 2.075 -2.075 4.902 2.075 2.075 -4.902" Properties=species:S:1:pos:R:3 pbc="T T T"
Be 2.075 0.000 2.451
Be 0.000 2.075 2.451
Si 0.000 0.000 1.218
Si 0.000 0.000 8.586
I 0.000 0.000 4.902
```



No. 19
This record from Alexandria describes a relaxed HgSe crystal. The functional is PBE.

Volume   111.4 Å³ per cell
E_form (uncorrected)   0.0004 eV/atom
Mass density   8.33 g cm⁻³
Symmetry   No. 129

The structure in extended XYZ format:
```
4
Lattice="4.639 0.000 0.000 0.000 4.639 0.000 0.000 0.000 5.179" Properties=species:S:1:pos:R:3 pbc="T T T"
Hg 1.160 3.479 0.000
Hg 3.479 1.160 0.000
Se 1.160 1.160 1.573
Se 3.479 3.479 3.606
```



No. 20
This record from Alexandria describes a relaxed Mg4ScPd5 crystal. The functional is PBE.

Volume   165.8 Å³ per cell
Mass density   6.75 g cm⁻³
ΔH_f (0 K)   -0.7777 eV per atom
Symmetry   No. 123

The structure in extended XYZ format:
```
10
Lattice="3.231 0.000 0.000 0.000 3.231 0.000 0.000 0.000 15.882" Properties=species:S:1:pos:R:3 pbc="T T T"
Mg 0.000 0.000 1.560
Mg 0.000 0.000 4.680
Mg 0.000 0.000 11.202
Mg 0.000 0.000 14.322
Sc 0.000 0.000 7.941
Pd 1.616 1.616 0.000
Pd 1.616 1.616 3.133
Pd 1.616 1.616 6.302
Pd 1.616 1.616 9.580
Pd 1.616 1.616 12.749
```



No. 21
This record from Alexandria describes a relaxed KBeSe2 crystal. The functional is PBE.

Volume   229.2 Å³ per cell
E_form (uncorrected)   -0.6686 eV/atom
Mass density   2.99 g cm⁻³
Symmetry   No. 122

The structure in extended XYZ format:
```
8
Lattice="-2.994 2.994 6.393 2.994 -2.994 6.393 2.994 2.994 -6.393" Properties=species:S:1:pos:R:3 pbc="T T T"
K 0.000 0.000 0.000
K 0.000 2.994 3.197
Be 2.994 0.000 3.197
Be 0.000 0.000 6.393
Se 1.497 -0.202 4.795
Se 2.792 1.497 1.598
Se 1.497 3.196 -1.598
Se 0.202 1.497 7.992
```



No. 22
This record from Alexandria describes a relaxed NpPdIO6 crystal. The functional is PBE.

Volume   259.3 Å³ per cell
E_form (uncorrected)   -1.0994 eV/atom
Mass density   7.25 g cm⁻³
Symmetry   No. 163

The structure in extended XYZ format:
```
18
Lattice="5.640 0.000 0.000 -2.820 4.884 0.000 0.000 0.000 9.413" Properties=species:S:1:pos:R:3 pbc="T T T"
Np 0.000 3.256 2.353
Np 2.820 1.628 7.060
Pd 0.000 0.000 0.000
Pd 0.000 0.000 4.706
I 0.000 3.256 7.060
I 2.820 1.628 2.353
O -0.998 1.736 1.268
O -1.815 3.152 3.439
O 2.003 0.004 5.974
O 0.998 1.736 3.439
O 1.005 1.733 8.145
O -0.817 4.881 1.268
O 3.637 0.004 8.145
O 1.815 3.152 1.268
O 1.822 3.148 5.974
O 0.817 4.881 3.439
O 4.635 1.733 5.974
O 3.818 3.148 8.145
```



No. 23
This record from Alexandria describes a relaxed TaW2Au crystal. The functional is PBE.

Volume   68.1 Å³ per cell
Mass density   18.19 g cm⁻³
ΔH_f (0 K)   0.2416 eV per atom
ΔE to the lowest computed polymorph   0.144 eV per atom
Symmetry   No. 99

The structure in extended XYZ format:
```
4
Lattice="2.759 0.000 0.000 0.000 2.759 0.000 0.000 0.000 8.940" Properties=species:S:1:pos:R:3 pbc="T T T"
Ta 0.000 0.000 0.000
W 0.000 0.000 4.475
W 1.380 1.380 2.251
Au 1.380 1.380 6.683
```